one.
Entry from Alexandria via LeMat-Bulk: BaTaMo2 after structural relaxation (PBE-GGA).

a b c (Å): 5.076 5.076 9.721
angles (deg): 74.86 74.86 90.00
Element x y z (fractional)
Ta1 0.750 0.250 0.500
Mo1 0.875 0.125 0.750
Ba1 0.250 0.750 0.500
Mo2 0.375 0.125 0.750
Ba2 0.500 0.500 0.000
Ta2 0.000 0.000 0.000
Mo3 0.875 0.625 0.250
Mo4 0.875 0.125 0.250

Computed properties:
D(E_F), states/eV/atom: 1.233
Total magnetization, Bohr magnetons per cell: 0.00
Space-group type: I4_1/amd



two.
Entry from Alexandria via LeMat-Bulk: BaTaMo2 after structural relaxation (PBE-GGA).

a b c (Å): 3.270 4.928 4.928
angles (deg): 90.00 90.00 90.00
Element x y z (fractional)
Mo1 0.000 0.000 0.000
Mo2 0.000 0.500 0.500
Ba1 0.500 0.000 0.500
Ta1 0.500 0.500 0.000

Computed properties:
D(E_F), states/eV/atom: 1.293
Total magnetization, Bohr magnetons per cell: 0.00
Space-group type: P4/mmm



two is the most stable structure; the next one sits 170 meV per atom above it.



one.
Entry from Alexandria via LeMat-Bulk: BaTaMo after structural relaxation (PBE-GGA).

a b c (Å): 4.780 4.780 4.780
angles (deg): 60.00 60.00 60.00
Element x y z (fractional)
Ba1 0.500 0.500 0.500
Mo1 0.750 0.750 0.750
Ta1 0.000 0.000 0.000

Computed properties:
D(E_F), states/eV/atom: 1.435
Total magnetization, Bohr magnetons per cell: 0.00
Space-group type: F-43m



two.
Entry from Alexandria via LeMat-Bulk: BaTaMo after structural relaxation (PBE-GGA).

a b c (Å): 3.359 3.359 7.662
angles (deg): 90.00 90.00 120.00
Element x y z (fractional)
Ba1 0.000 0.000 0.013
Ta1 0.333 0.667 0.604
Mo1 0.667 0.333 0.382

Computed properties:
D(E_F), states/eV/atom: 0.879
Total magnetization, Bohr magnetons per cell: 0.00
Space-group type: P3m1



two is the most stable structure; the next one sits 537 meV per atom above it.